# 1
VASP calculation (GGA-PBE) on crystalline Ce2Sm3Dy6Y at its relaxed geometry.

Cell: 6.171 6.171 11.778 Å, 95.00 95.00 119.99°
Fractional coordinates of all 12 atoms:
Ce (0.166, 0.834, 0.000)
Ce (0.834, 0.166, 0.000)
Sm (0.000, 0.000, 0.500)
Sm (0.334, 0.666, 0.500)
Sm (0.666, 0.334, 0.500)
Dy (0.081, 0.417, 0.753)
Dy (0.247, 0.247, 0.248)
Dy (0.417, 0.081, 0.753)
Dy (0.583, 0.919, 0.247)
Dy (0.753, 0.753, 0.752)
Dy (0.919, 0.583, 0.247)
Y (0.500, 0.500, 0.000)

Calculated values
- DOS(E_F) (states/eV/f.u.) = 20.96
- VASP energy (eV/atom) = -4.962
- calculated formation energy (eV per atom) = 0.05
- space-group type = C2/m (12)



# 2
VASP calculation (GGA-PBE) on crystalline CeSm2DyY at its relaxed geometry.

Cell: 7.933 6.960 6.009 Å, 90.00 90.06 90.00°
Fractional coordinates of all 10 atoms:
Ce (0.000, 0.000, 0.000)
Ce (0.000, 0.000, 0.500)
Sm (0.298, 0.310, 0.249)
Sm (0.298, 0.690, 0.749)
Sm (0.702, 0.310, 0.251)
Sm (0.702, 0.690, 0.751)
Dy (0.500, 0.158, 0.750)
Dy (0.500, 0.842, 0.250)
Y (0.000, 0.403, 0.750)
Y (0.000, 0.597, 0.250)

Calculated values
- DOS(E_F) (states/eV/f.u.) = 10.28
- VASP energy (eV/atom) = -4.993
- calculated formation energy (eV per atom) = 0.29
- space-group type = P2/c (13)



# 3
VASP calculation (GGA-PBE) on crystalline Ce2Sm6Dy3Y at its relaxed geometry.

Cell: 6.210 6.210 11.883 Å, 95.01 95.01 120.01°
Fractional coordinates of all 12 atoms:
Ce (0.167, 0.833, 0.000)
Ce (0.833, 0.167, 0.000)
Sm (0.080, 0.416, 0.750)
Sm (0.248, 0.248, 0.250)
Sm (0.416, 0.080, 0.750)
Sm (0.584, 0.920, 0.250)
Sm (0.752, 0.752, 0.750)
Sm (0.920, 0.584, 0.250)
Dy (0.000, 0.000, 0.500)
Dy (0.334, 0.666, 0.500)
Dy (0.666, 0.334, 0.500)
Y (0.500, 0.500, 0.000)

Calculated values
- DOS(E_F) (states/eV/f.u.) = 23.37
- VASP energy (eV/atom) = -4.984
- calculated formation energy (eV per atom) = 0.05
- space-group type = C2/m (12)



# 4
VASP calculation (GGA-PBE) on crystalline CeSm6Dy2Y at its relaxed geometry.

Cell: 6.655 6.655 8.872 Å, 102.34 102.34 62.85°
Fractional coordinates of all 10 atoms:
Ce (0.000, 0.000, 0.000)
Sm (0.090, 0.562, 0.200)
Sm (0.124, 0.124, 0.416)
Sm (0.438, 0.910, 0.800)
Sm (0.562, 0.090, 0.200)
Sm (0.876, 0.876, 0.584)
Sm (0.910, 0.438, 0.800)
Dy (0.411, 0.411, 0.834)
Dy (0.589, 0.589, 0.166)
Y (0.500, 0.500, 0.500)

Calculated values
- DOS(E_F) (states/eV/f.u.) = 22.44
- VASP energy (eV/atom) = -4.744
- calculated formation energy (eV per atom) = 0.25
- space-group type = C2/m (12)



# 5
VASP calculation (GGA-PBE) on crystalline CeSmDyZn at its relaxed geometry.

Cell: 5.275 5.275 5.275 Å, 60.00 60.00 60.00°
Fractional coordinates of all 4 atoms:
Ce (0.000, 0.000, 0.000)
Sm (0.250, 0.250, 0.250)
Dy (0.750, 0.750, 0.750)
Zn (0.500, 0.500, 0.500)

Calculated values
- DOS(E_F) (states/eV/f.u.) = 8.24
- VASP energy (eV/atom) = -4.011
- calculated formation energy (eV per atom) = 0.12
- space-group type = F-43m (216)



# 6
VASP calculation (GGA-PBE) on crystalline Ce5DySn3 at its relaxed geometry.

Cell: 9.470 9.470 6.632 Å, 90.00 90.00 120.00°
Fractional coordinates of all 18 atoms:
Ce (0.000, 0.340, 0.250)
Ce (0.000, 0.660, 0.750)
Ce (0.333, 0.667, 0.000)
Ce (0.333, 0.667, 0.500)
Ce (0.340, 0.000, 0.250)
Ce (0.340, 0.340, 0.750)
Ce (0.660, 0.000, 0.750)
Ce (0.660, 0.660, 0.250)
Ce (0.667, 0.333, 0.000)
Ce (0.667, 0.333, 0.500)
Dy (0.000, 0.000, 0.000)
Dy (0.000, 0.000, 0.500)
Sn (0.000, 0.326, 0.750)
Sn (0.000, 0.674, 0.250)
Sn (0.326, 0.000, 0.750)
Sn (0.326, 0.326, 0.250)
Sn (0.674, 0.000, 0.250)
Sn (0.674, 0.674, 0.750)

Calculated values
- DOS(E_F) (states/eV/f.u.) = 24.23
- VASP energy (eV/atom) = -5.615
- calculated formation energy (eV per atom) = -0.47
- space-group type = P6_3/mcm (193)



# 7
VASP calculation (GGA-PBE) on crystalline CeDySn at its relaxed geometry.

Cell: 4.049 4.049 10.003 Å, 90.00 90.00 90.00°
Fractional coordinates of all 6 atoms:
Ce (0.250, 0.250, 0.076)
Ce (0.750, 0.750, 0.924)
Dy (0.250, 0.250, 0.405)
Dy (0.750, 0.750, 0.595)
Sn (0.250, 0.250, 0.747)
Sn (0.750, 0.750, 0.253)

Calculated values
- DOS(E_F) (states/eV/f.u.) = 6.20
- VASP energy (eV/atom) = -5.280
- calculated formation energy (eV per atom) = -0.43
- space-group type = P4/nmm (129)



# 8
VASP calculation (GGA-PBE) on crystalline Ce8DySn6 at its relaxed geometry.

Cell: 8.443 8.443 8.443 Å, 67.36 67.36 67.36°
Fractional coordinates of all 15 atoms:
Ce (0.059, 0.745, 0.404)
Ce (0.165, 0.165, 0.165)
Ce (0.255, 0.596, 0.941)
Ce (0.404, 0.059, 0.745)
Ce (0.596, 0.941, 0.255)
Ce (0.745, 0.404, 0.059)
Ce (0.835, 0.835, 0.835)
Ce (0.941, 0.255, 0.596)
Dy (0.500, 0.500, 0.500)
Sn (0.107, 0.430, 0.755)
Sn (0.245, 0.893, 0.570)
Sn (0.430, 0.755, 0.107)
Sn (0.570, 0.245, 0.893)
Sn (0.755, 0.107, 0.430)
Sn (0.893, 0.570, 0.245)

Calculated values
- DOS(E_F) (states/eV/f.u.) = 54.60
- VASP energy (eV/atom) = -5.452
- calculated formation energy (eV per atom) = -0.38
- space-group type = R-3 (148)